1.
Here is a relaxed structure of SiHg3 from Alexandria via LeMat-Bulk. Energies are from PBE.

The structure in CIF format:
```
data_SiHg3
_chemical_formula_sum 'Si4 Hg12'
_space_group_name_H-M_alt 'P 63/m m c'
_space_group_IT_number 194
_space_group_name_Hall '-P 6c 2c'
_cell_length_a 8.2499
_cell_length_b 8.2499
_cell_length_c 6.7469
_cell_angle_alpha 90.00
_cell_angle_beta 90.00
_cell_angle_gamma 120.00
loop_
_atom_site_label
_atom_site_type_symbol
_atom_site_fract_x
_atom_site_fract_y
_atom_site_fract_z
_atom_site_occupancy
Si1 Si 0.0000 0.0000 0.0000 1
Si2 Si 0.3333 0.6667 0.2500 1
Hg1 Hg 0.0000 0.5000 0.0000 1
Hg2 Hg 0.1502 0.3003 0.7500 1
```

Values from the calculation:
- Energy relative to the elements, uncorrected: 1.374 eV per formula unit

***

2.
Here is a relaxed structure of SiHg3 from Alexandria via LeMat-Bulk. Energies are from PBE.

The structure in CIF format:
```
data_SiHg3
_chemical_formula_sum 'Si2 Hg6'
_space_group_name_H-M_alt 'P m -3 n'
_space_group_IT_number 223
_space_group_name_Hall '-P 4n 2 3'
_cell_length_a 5.706
_cell_length_b 5.706
_cell_length_c 5.706
_cell_angle_alpha 90.00
_cell_angle_beta 90.00
_cell_angle_gamma 90.00
loop_
_atom_site_label
_atom_site_type_symbol
_atom_site_fract_x
_atom_site_fract_y
_atom_site_fract_z
_atom_site_occupancy
Si1 Si 0.000 0.000 0.000 1
Hg1 Hg 0.000 0.250 0.500 1
```

Values from the calculation:
- Energy relative to the elements, uncorrected: 1.785 eV per formula unit

***

3.
Here is a relaxed structure of Si2Hg from Alexandria via LeMat-Bulk. Energies are from PBE.

The structure in CIF format:
```
data_Si2Hg
_chemical_formula_sum 'Si8 Hg4'
_space_group_name_H-M_alt 'P 63/m m c'
_space_group_IT_number 194
_space_group_name_Hall '-P 6c 2c'
_cell_length_a 5.7568
_cell_length_b 5.7568
_cell_length_c 7.9595
_cell_angle_alpha 90.00
_cell_angle_beta 90.00
_cell_angle_gamma 120.00
loop_
_atom_site_label
_atom_site_type_symbol
_atom_site_fract_x
_atom_site_fract_y
_atom_site_fract_z
_atom_site_occupancy
Si1 Si 0.0000 0.0000 0.0000 1
Si2 Si 0.1837 0.3675 0.2500 1
Hg1 Hg 0.3333 0.6667 0.5691 1
```

Values from the calculation:
- Energy relative to the elements, uncorrected: 1.608 eV per formula unit

***

4.
Here is a relaxed structure of SiHg3 from Alexandria via LeMat-Bulk. Energies are from PBE.

The structure in CIF format:
```
data_SiHg3
_chemical_formula_sum 'Si1 Hg3'
_space_group_name_H-M_alt 'P -6 m 2'
_space_group_IT_number 187
_space_group_name_Hall 'P -6 2'
_cell_length_a 3.3748
_cell_length_b 3.3748
_cell_length_c 9.3611
_cell_angle_alpha 90.00
_cell_angle_beta 90.00
_cell_angle_gamma 120.00
loop_
_atom_site_label
_atom_site_type_symbol
_atom_site_fract_x
_atom_site_fract_y
_atom_site_fract_z
_atom_site_occupancy
Si1 Si 0.0000 0.0000 0.0000 1
Hg1 Hg 0.0000 0.0000 0.5000 1
Hg2 Hg 0.3333 0.6667 0.2295 1
```

Values from the calculation:
- Energy relative to the elements, uncorrected: 1.461 eV per formula unit

***

5.
Here is a relaxed structure of Si2Hg from Alexandria via LeMat-Bulk. Energies are from PBE.

The structure in CIF format:
```
data_Si2Hg
_chemical_formula_sum 'Si8 Hg4'
_space_group_name_H-M_alt 'F m -3 m'
_space_group_IT_number 225
_space_group_name_Hall '-F 4 2 3'
_cell_length_a 6.388
_cell_length_b 6.388
_cell_length_c 6.388
_cell_angle_alpha 90.00
_cell_angle_beta 90.00
_cell_angle_gamma 90.00
loop_
_atom_site_label
_atom_site_type_symbol
_atom_site_fract_x
_atom_site_fract_y
_atom_site_fract_z
_atom_site_occupancy
Si1 Si 0.250 0.250 0.250 1
Hg1 Hg 0.000 0.000 0.000 1
```

Values from the calculation:
- Energy relative to the elements, uncorrected: 2.325 eV per formula unit

***

6.
Here is a relaxed structure of SiHg2 from Alexandria via LeMat-Bulk. Energies are from PBE.

The structure in CIF format:
```
data_SiHg2
_chemical_formula_sum 'Si1 Hg2'
_space_group_name_H-M_alt 'P 6/m m m'
_space_group_IT_number 191
_space_group_name_Hall '-P 6 2'
_cell_length_a 5.1928
_cell_length_b 5.1928
_cell_length_c 2.9170
_cell_angle_alpha 90.00
_cell_angle_beta 90.00
_cell_angle_gamma 120.00
loop_
_atom_site_label
_atom_site_type_symbol
_atom_site_fract_x
_atom_site_fract_y
_atom_site_fract_z
_atom_site_occupancy
Si1 Si 0.0000 0.0000 0.0000 1
Hg1 Hg 0.3333 0.6667 0.0000 1
```

Values from the calculation:
- Energy relative to the elements, uncorrected: 1.321 eV per formula unit

***

7.
Here is a relaxed structure of SiHg3 from Alexandria via LeMat-Bulk. Energies are from PBE.

The structure in CIF format:
```
data_SiHg3
_chemical_formula_sum 'Si1 Hg3'
_space_group_name_H-M_alt 'P m m m'
_space_group_IT_number 47
_space_group_name_Hall '-P 2 2'
_cell_length_a 3.041
_cell_length_b 3.876
_cell_length_c 7.848
_cell_angle_alpha 90.00
_cell_angle_beta 90.00
_cell_angle_gamma 90.00
loop_
_atom_site_label
_atom_site_type_symbol
_atom_site_fract_x
_atom_site_fract_y
_atom_site_fract_z
_atom_site_occupancy
Si1 Si 0.000 0.000 0.000 1
Hg1 Hg 0.000 0.000 0.500 1
Hg2 Hg 0.500 0.500 0.220 1
```

Values from the calculation:
- Energy relative to the elements, uncorrected: 1.470 eV per formula unit

***

8.
Here is a relaxed structure of Si2Hg from Alexandria via LeMat-Bulk. Energies are from PBE.

The structure in CIF format:
```
data_Si2Hg
_chemical_formula_sum 'Si2 Hg1'
_space_group_name_H-M_alt 'P -6 m 2'
_space_group_IT_number 187
_space_group_name_Hall 'P -6 2'
_cell_length_a 4.1862
_cell_length_b 4.1862
_cell_length_c 4.7819
_cell_angle_alpha 90.00
_cell_angle_beta 90.00
_cell_angle_gamma 120.00
loop_
_atom_site_label
_atom_site_type_symbol
_atom_site_fract_x
_atom_site_fract_y
_atom_site_fract_z
_atom_site_occupancy
Si1 Si 0.0000 0.0000 0.2488 1
Hg1 Hg 0.3333 0.6667 0.5000 1
```

Values from the calculation:
- Energy relative to the elements, uncorrected: 2.014 eV per formula unit

***

energy relative to the elements, uncorrected of number 1 (SiHg3)?
1.374 eV per formula unit

***

What did the eighth record say?
Here is a relaxed structure of Si2Hg from Alexandria via LeMat-Bulk. Energies are from PBE.

The structure in CIF format:
```
data_Si2Hg
_chemical_formula_sum 'Si2 Hg1'
_space_group_name_H-M_alt 'P -6 m 2'
_space_group_IT_number 187
_space_group_name_Hall 'P -6 2'
_cell_length_a 4.1862
_cell_length_b 4.1862
_cell_length_c 4.7819
_cell_angle_alpha 90.00
_cell_angle_beta 90.00
_cell_angle_gamma 120.00
loop_
_atom_site_label
_atom_site_type_symbol
_atom_site_fract_x
_atom_site_fract_y
_atom_site_fract_z
_atom_site_occupancy
Si1 Si 0.0000 0.0000 0.2488 1
Hg1 Hg 0.3333 0.6667 0.5000 1
```

Values from the calculation:
- Energy relative to the elements, uncorrected: 2.014 eV per formula unit

***

Look up the energy relative to the elements, uncorrected of the second one.
1.785 eV per formula unit

***

What is the formula in the seventh record?
SiHg3